Compound: Sr2CaAlSe
Source: the Alexandria database
Functional: PBE-GGA
Structure: optimized geometry

Cell lengths 5.8904, 5.8904, 5.4806 Å; angles 90.00, 90.00, 90.00 degrees
Fractional coordinates of all 5 atoms:
1 Sr 0.0000 0.5000 0.0000
2 Sr 0.5000 0.0000 0.0000
3 Ca 0.0000 0.0000 0.5000
4 Al 0.5000 0.5000 0.5000
5 Se 0.0000 0.0000 0.0000

Electronic total energy: -3.120 eV/atom
Formation energy (no corrections): -0.6018 eV/atom